[1]
Here is a relaxed Dy3Mg2Os crystal from the Alexandria database. Energies are from PBE.

The structure in extended XYZ format:
```
12
Lattice="4.986 0.000 0.000 0.000 8.027 0.000 -2.485 0.000 7.418" Properties=species:S:1:pos:R:3 pbc="T T T"
Dy 0.000 1.751 0.000
Dy 0.000 6.276 0.000
Dy 0.005 1.664 4.818
Dy 0.005 6.363 4.818
Dy 2.496 1.664 2.599
Dy 2.496 6.363 2.599
Mg 0.005 4.014 2.473
Mg 2.493 0.000 0.000
Mg 2.493 4.014 0.000
Mg 2.497 4.014 4.944
Os 0.001 0.000 2.360
Os 2.500 0.000 5.058
```

Computed properties:
Space group = P2/m



[2]
Here is a relaxed Dy6Mg2Os crystal from the Alexandria database. Energies are from PBE.

The structure in extended XYZ format:
```
9
Lattice="5.165 0.000 0.000 -0.006 6.612 0.000 -2.574 -2.969 7.141" Properties=species:S:1:pos:R:3 pbc="T T T"
Dy -0.001 1.549 0.644
Dy 0.002 2.835 4.295
Dy 0.008 -0.501 5.672
Dy 2.577 4.144 1.469
Dy 2.584 0.808 2.845
Dy 2.586 2.094 6.496
Mg 0.001 -1.026 2.582
Mg 2.585 4.669 4.559
Os 2.583 0.000 0.000
```

Computed properties:
Space group = P-1



no.,energy of formation from the pure elements (eV/atom),E (eV per atom)
1,-0.18,-4.883
2,-0.08,-4.752